# Cd5SnHg3 | Alexandria via LeMat-Bulk | PBE-GGA | optimized geometry
data_Cd5SnHg3
_chemical_formula_sum 'Cd10 Sn2 Hg6'
_symmetry_space_group_name_H-M 'P 63/m c m'
_symmetry_Int_Tables_number 193
_symmetry_space_group_name_Hall '-P 6c 2'
_cell_length_a 8.9788
_cell_length_b 8.9788
_cell_length_c 6.3488
_cell_angle_alpha 90.00
_cell_angle_beta 90.00
_cell_angle_gamma 120.00
loop_
_atom_site_label
_atom_site_type_symbol
_atom_site_fract_x
_atom_site_fract_y
_atom_site_fract_z
_atom_site_occupancy
Cd1 Cd 0.0000 0.3221 0.2500 1
Cd2 Cd 0.3333 0.6667 0.0000 1
Sn1 Sn 0.0000 0.0000 0.0000 1
Hg1 Hg 0.0000 0.3524 0.7500 1
# Distance to the lowest polymorph of the same formula in meV per atom: 31.6
# E_form in eV/atom: 0.0578
# M_tot in μB/f.u.: 0.0
# Energy in eV per atom: -0.996